[1]
CrOsSe | PBE | optimized geometry

Lattice parameters (Å, degrees): 4.4776 4.4776 4.4776 141.25 127.84 66.83
Last column: nearest neighbours and their distance in Å.
Fractional positions:
Se: 0.6695 0.6695 0.0000  1 Cr 2.41, 1 Os 2.47
Cr: 0.9917 0.9917 0.0000  1 Se 2.41, 1 Os 2.59
Os: 0.3388 0.3388 0.0000  1 Se 2.47, 5 Cr 2.59-2.72

Output
Formation energy from raw total energies in meV per atom: 549
N(E_F) in states/eV per cell: 2.665
Excess energy over the best structure of this formula in the dataset in meV/atom: 522.2
E in eV per atom: -7.563
V in Å³/cell: 43.7


[2]
Cr2OsSe | PBE | optimized geometry

Lattice parameters (Å, degrees): 3.5949 3.9630 3.9630 90.00 90.00 90.00
Last column: nearest neighbours and their distance in Å.
Fractional positions:
Se: 0.5000 0.0000 0.5000  8 Cr 2.68, 4 Os 2.80
Os: 0.5000 0.5000 0.0000  8 Cr 2.68, 4 Se 2.80
Cr: 0.0000 0.5000 0.5000  4 Os 2.68, 4 Se 2.68, 4 Cr 2.80
Cr: 0.0000 0.0000 0.0000  4 Se 2.68, 4 Os 2.68, 4 Cr 2.80

Output
Formation energy from raw total energies in meV per atom: 534
N(E_F) in states/eV per cell: 5.115
E in eV per atom: -7.956
V in Å³/cell: 56.5


[3]
Cr2OsSe | PBE | optimized geometry

Lattice parameters (Å, degrees): 2.6832 2.6832 9.1056 90.00 90.00 114.02
Last column: nearest neighbours and their distance in Å.
Fractional positions:
Cr: 0.0000 0.0000 0.0234  2 Cr 2.37, 2 Se 2.51
Cr: 0.5000 0.5000 0.2286  2 Cr 2.37, 2 Os 2.48
Os: 0.0000 0.0000 0.4489  2 Cr 2.48, 4 Os 2.68
Se: 0.5000 0.5000 0.7991  2 Cr 2.51, 4 Se 2.68

Output
Formation energy from raw total energies in meV per atom: 554
N(E_F) in states/eV per cell: 4.870
E in eV per atom: -7.937
V in Å³/cell: 59.9